A relaxed structure of MgZnCl2, computed with PBE.

Cell and atoms, written as CIF:
```
data_MgZnCl2
_cell_length_a 3.690
_cell_length_b 4.050
_cell_length_c 5.959
_cell_angle_alpha 90.00
_cell_angle_beta 90.00
_cell_angle_gamma 90.00
_symmetry_space_group_name_H-M 'P 1'
_symmetry_Int_Tables_number 1
loop_
_symmetry_equiv_pos_as_xyz
'x,y,z'
loop_
_atom_site_label
_atom_site_fract_x
_atom_site_fract_y
_atom_site_fract_z
Mg1 0.000 0.000 0.000
Zn1 0.500 0.000 0.500
Cl1 0.000 0.500 0.500
Cl2 0.500 0.500 0.000
```

Results
Formation energy from raw total energies (eV per atom): -0.5101
N(E_F) (states/eV/atom): 0.50
Energy above the lowest structure with this stoichiometry (kcal/mol of atoms): 15.036